Material: KCrB2Rh
Method: DFT, GGA-PBE
State: relaxed

Calculated values
* energy: -15.6 eV/cell
* SG: P4/mmm (123)
* theoretical density: 3.984 Mg/m³

a b c (Å): 4.3919 4.6591 4.3919
angles (deg): 90.00 90.00 90.00
Closest atoms and distances in Å follow each position.
Fractional coordinates of all 5 atoms:
B  0.0000  0.0000  0.5000  2 K 2.20
K  0.0000  0.0000  0.0000  4 B 2.20, 2 Cr 2.33
Rh  0.5000  0.5000  0.5000  4 Cr 3.11, 8 B 3.20
B  0.5000  0.0000  0.0000  2 K 2.20
Cr  0.0000  0.5000  0.0000  2 K 2.33

=====

Material: KCrBSe4
Method: DFT, GGA-PBE
State: relaxed

Calculated values
* SG: P2_1/m (11)
* formation energy from raw total energies: -460 meV per atom
* theoretical density: 4.154 Mg/m³

a b c (Å): 6.0830 6.5702 9.8676
angles (deg): 90.00 122.14 90.00
Closest atoms and distances in Å follow each position.
Fractional coordinates of all 14 atoms:
B  0.8206  0.2500  0.6530  4 Se 2.03-2.09
Se  0.4931  0.2500  0.4303  1 B 2.03
Cr  0.2255  0.2500  0.5415  6 Se 2.40-2.60
B  0.1794  0.7500  0.3470  4 Se 2.03-2.09
Se  0.0666  0.0099  0.6814  1 B 2.09
Se  0.3259  0.7500  0.2015  1 B 2.05
Se  0.9334  0.5099  0.3186  1 B 2.09
Se  0.9334  0.9901  0.3186  1 B 2.09
K  0.6773  0.7500  0.9399  6 Se 3.22-3.57, 1 B 3.52
K  0.3227  0.2500  0.0601  6 Se 3.22-3.57, 1 B 3.52
Se  0.6741  0.2500  0.7985  1 B 2.05
Se  0.0666  0.4901  0.6814  1 B 2.09
Cr  0.7745  0.7500  0.4585  6 Se 2.40-2.60
Se  0.5069  0.7500  0.5697  1 B 2.03

=====

Material: KZn2CrB
Method: DFT, GGA-PBE
State: relaxed

Calculated values
* energy: -15.3 eV/cell
* SG: P4/mmm (123)
* theoretical density: 3.769 Mg/m³

a b c (Å): 4.2453 5.6885 4.2453
angles (deg): 90.00 90.00 90.00
Closest atoms and distances in Å follow each position.
Fractional coordinates of all 5 atoms:
Zn  0.5000  0.0000  0.0000  2 B 2.12
Cr  0.5000  0.5000  0.5000  4 K 3.00
Zn  0.0000  0.0000  0.5000  2 B 2.12
K  0.0000  0.5000  0.0000  2 B 2.84, 4 Cr 3.00
B  0.0000  0.0000  0.0000  4 Zn 2.12

=====

Material: LaCr2B
Method: DFT, GGA-PBE
State: relaxed

Calculated values
* energy: -55.0 eV/cell
* SG: Fd-3m (227)
* theoretical density: 5.482 Mg/m³

a b c (Å): 6.0141 6.0141 6.0121
angles (deg): 59.99 59.99 90.00
Closest atoms and distances in Å follow each position.
Fractional coordinates of all 8 atoms:
Cr  0.3747  0.6250  0.2500  2 B 1.84
Cr  0.3753  0.1250  0.2500  2 B 1.84
Cr  0.3750  0.6247  0.7500  2 B 1.84
B  0.5000  0.5000  0.0000  4 Cr 1.84
B  0.2500  0.7500  0.5000  4 Cr 1.84
Cr  0.8750  0.6253  0.7500  2 B 1.84
La  0.0000  0.0000  0.0000  12 Cr 3.52-3.53, 4 La 3.68, 4 B 3.68
La  0.7500  0.2500  0.5000  12 Cr 3.52-3.53, 4 B 3.68, 4 La 3.68

=====

Material: La3CrB2N6
Method: DFT, GGA-PBE
State: relaxed

Calculated values
* SG: P-3m1 (164)
* formation energy from raw total energies: -1058 meV per atom
* theoretical density: 5.944 Mg/m³

a b c (Å): 5.4116 5.4116 6.3266
angles (deg): 90.00 90.00 120.00
Closest atoms and distances in Å follow each position.
Fractional coordinates of all 12 atoms:
N  0.1773  0.3547  0.2936  1 B 1.47
N  0.8227  0.6453  0.7064  1 B 1.47
N  0.6453  0.8227  0.2936  1 B 1.47
Cr  0.0000  0.0000  0.5000  6 N 2.11
N  0.8227  0.1773  0.7064  1 B 1.47
N  0.3547  0.1773  0.7064  1 B 1.47
La  0.3333  0.6667  0.6744  1 B 2.53, 9 N 2.72-2.82
La  0.0000  0.0000  0.0000  6 N 2.49
La  0.6667  0.3333  0.3256  1 B 2.53, 9 N 2.72-2.82
B  0.6667  0.3333  0.7262  3 N 1.47
N  0.1773  0.8227  0.2936  1 B 1.47
B  0.3333  0.6667  0.2738  3 N 1.47

=====

Material: LaCrB2N
Method: DFT, GGA-PBE
State: relaxed

Calculated values
* SG: P4/mmm (123)
* formation energy from raw total energies: 1100 meV per atom
* theoretical density: 5.581 Mg/m³

a b c (Å): 4.2588 3.7164 4.2588
angles (deg): 90.00 90.00 90.00
Closest atoms and distances in Å follow each position.
Fractional coordinates of all 5 atoms:
Cr  0.0000  0.5000  0.0000  2 N 1.86
La  0.5000  0.5000  0.5000  8 B 2.83, 4 Cr 3.01
B  0.5000  0.0000  0.0000  2 N 2.13
B  0.0000  0.0000  0.5000  2 N 2.13
N  0.0000  0.0000  0.0000  2 Cr 1.86